(1)
CaGaFe3 at its PBEsol-relaxed geometry, computed with SCAN.

## Properties
- Energy of formation: 0.66 eV per atom
- Space-group type: No. 221

Cell lengths 4.488, 4.488, 4.488 Å; angles 90.00, 90.00, 90.00 degrees
Atoms (fractional coordinates):
Ca  0.000  0.000  0.000
Ga  0.500  0.500  0.500
Fe  0.000  0.500  0.500
Fe  0.500  0.000  0.500
Fe  0.500  0.500  0.000

(2)
Co2HgBi2 at its PBEsol-relaxed geometry, computed with SCAN.

## Properties
- Energy of formation: 0.29 eV per atom
- Space-group type: No. 139

Cell lengths 9.564, 9.564, 9.564 Å; angles 159.47, 159.47, 29.20 degrees
Atoms (fractional coordinates):
Co  0.250  0.750  0.500
Co  0.750  0.250  0.500
Hg  0.000  0.000  0.000
Bi  0.364  0.364  0.000
Bi  0.636  0.636  0.000

(3)
MnCd2Ag at its PBEsol-relaxed geometry, computed with SCAN.

## Properties
- Energy of formation: -0.01 eV per atom
- Space-group type: No. 44

Cell lengths 5.476, 5.476, 5.476 Å; angles 145.99, 129.09, 62.64 degrees
Atoms (fractional coordinates):
Mn  0.000  0.000  0.000
Cd  0.490  0.490  0.000
Cd  0.753  0.253  0.500
Ag  0.236  0.736  0.500

(4)
CrMoO4 at its PBEsol-relaxed geometry, computed with SCAN.

## Properties
- Formation energy without anion corrections: -1311.8 kJ/mol of formula units
- Space-group type: No. 65

Cell lengths 4.618, 4.618, 2.874 Å; angles 90.00, 90.00, 91.83 degrees
Atoms (fractional coordinates):
Cr  0.000  0.000  0.000
Mo  0.500  0.500  0.500
O  0.202  0.202  0.500
O  0.291  0.709  0.000
O  0.709  0.291  0.000
O  0.798  0.798  0.500

(5)
Li2GaIr at its PBEsol-relaxed geometry, computed with SCAN.

## Properties
- Energy of formation: -0.51 eV per atom
- Space-group type: No. 216

Cell lengths 4.187, 4.187, 4.187 Å; angles 60.00, 60.00, 60.00 degrees
Atoms (fractional coordinates):
Li  0.000  0.000  0.000
Li  0.250  0.250  0.250
Ga  0.750  0.750  0.750
Ir  0.500  0.500  0.500

(6)
Ni2OsRh at its PBEsol-relaxed geometry, computed with SCAN.

## Properties
- Energy of formation: 0.08 eV per atom
- Space-group type: No. 8

Cell lengths 4.489, 4.489, 4.393 Å; angles 99.84, 99.84, 33.81 degrees
Atoms (fractional coordinates):
Ni  0.000  0.000  0.000
Ni  0.747  0.747  0.233
Os  0.495  0.495  0.488
Rh  0.247  0.247  0.734